Entry from Alexandria via LeMat-Bulk: a relaxed structure of CsHoCr2O8 (PBE with a Hubbard U).

Summary:
VASP energy ... -83.2 eV/f.u.
Fermi-level density of states ... 0.00 states/eV/cell

abc: 5.809 5.809 8.450
angles: 90.00 90.00 120.00
Fractional coordinates of all 12 atoms:
Ho (0.000, 0.000, 0.500)
O (0.649, 0.820, 0.662)
O (0.333, 0.667, 0.919)
O (0.180, 0.829, 0.662)
O (0.171, 0.351, 0.662)
O (0.351, 0.180, 0.338)
O (0.667, 0.333, 0.081)
O (0.820, 0.171, 0.338)
O (0.829, 0.649, 0.338)
Cr (0.667, 0.333, 0.273)
Cr (0.333, 0.667, 0.727)
Cs (0.000, 0.000, 0.000)